A relaxed Tc2PtSe2 crystal. Source: the Alexandria database, functional PBE.

Cell and atoms, written as POSCAR:
```
Tc2PtSe2
1.0
4.318 0.000 0.000
0.000 4.318 0.000
2.159 2.159 4.708
Se Tc Pt
2 2 1
Direct
0.633 0.633 0.733
0.367 0.367 0.267
0.750 0.250 0.500
0.250 0.750 0.500
0.000 0.000 0.000
```

Values from the calculation:
**Electronic total energy**: -6.4393 eV per atom
**ΔE_f (raw)**: 309 meV/atom
**Symmetry**: I4/mmm
**N(E_F)**: 5.4 states/eV/f.u.
**Energy relative to the lowest polymorph listed for this composition**: 0 meV per atom